# PBE K5As3, optimized geometry
# Space group: P-1
# Energy relative to the lowest polymorph listed for this composition in eV per atom: 0.000
# Spin magnetization in μB/f.u.: 2.999
data_K5As3
_space_group_name_H-M_alt 'P 1'
_space_group_IT_number 1
_space_group_name_Hall 'P 1'
_cell_length_a 9.962
_cell_length_b 9.960
_cell_length_c 9.961
_cell_angle_alpha 95.88
_cell_angle_beta 95.90
_cell_angle_gamma 142.63
loop_
_atom_site_label
_atom_site_type_symbol
_atom_site_fract_x
_atom_site_fract_y
_atom_site_fract_z
_atom_site_occupancy
As1 As 0.682 0.683 0.000 1
As2 As 0.317 0.317 0.000 1
As3 As 0.339 0.155 0.494 1
As4 As 0.660 0.845 0.506 1
As5 As 0.153 0.660 0.815 1
As6 As 0.846 0.341 0.185 1
K1 K 0.250 0.750 0.500 1
K2 K 0.750 0.250 0.500 1
K3 K 0.792 0.083 0.875 1
K4 K 0.207 0.917 0.125 1
K5 K 0.726 0.592 0.318 1
K6 K 0.273 0.408 0.682 1
K7 K 0.591 0.273 0.865 1
K8 K 0.408 0.727 0.135 1
K9 K 0.083 0.208 0.290 1
K10 K 0.916 0.792 0.709 1

=====

# PBE K4As, optimized geometry
# Space group: Pm-3m
# Total DFT energy (no corrections) in eV per atom: -1.95
# Spin magnetization in μB/f.u.: 0.234
data_K4As
_space_group_name_H-M_alt 'P 1'
_space_group_IT_number 1
_space_group_name_Hall 'P 1'
_cell_length_a 6.568
_cell_length_b 6.568
_cell_length_c 6.568
_cell_angle_alpha 90.00
_cell_angle_beta 90.00
_cell_angle_gamma 90.00
loop_
_atom_site_label
_atom_site_type_symbol
_atom_site_fract_x
_atom_site_fract_y
_atom_site_fract_z
_atom_site_occupancy
As1 As 0.500 0.500 0.500 1
K1 K 0.000 0.000 0.000 1
K2 K 0.500 0.000 0.500 1
K3 K 0.000 0.500 0.500 1
K4 K 0.500 0.500 0.000 1

=====

# PBE K3As, optimized geometry
# Space group: Cmmm
# Total DFT energy (no corrections) in eV per atom: -2.07
# Spin magnetization in μB/f.u.: 0.000
data_K3As
_space_group_name_H-M_alt 'P 1'
_space_group_IT_number 1
_space_group_name_Hall 'P 1'
_cell_length_a 4.082
_cell_length_b 4.082
_cell_length_c 11.565
_cell_angle_alpha 90.00
_cell_angle_beta 90.00
_cell_angle_gamma 89.92
loop_
_atom_site_label
_atom_site_type_symbol
_atom_site_fract_x
_atom_site_fract_y
_atom_site_fract_z
_atom_site_occupancy
As1 As 0.000 0.000 0.000 1
K1 K 0.500 0.500 0.844 1
K2 K 0.000 0.000 0.500 1
K3 K 0.500 0.500 0.156 1

=====

# PBE KAs6, optimized geometry
# Space group: Im-3m
# Total DFT energy (no corrections) in eV per atom: -4.05
# Spin magnetization in μB/f.u.: 0.000
data_KAs6
_space_group_name_H-M_alt 'P 1'
_space_group_IT_number 1
_space_group_name_Hall 'P 1'
_cell_length_a 6.482
_cell_length_b 6.482
_cell_length_c 6.482
_cell_angle_alpha 109.47
_cell_angle_beta 109.47
_cell_angle_gamma 109.47
loop_
_atom_site_label
_atom_site_type_symbol
_atom_site_fract_x
_atom_site_fract_y
_atom_site_fract_z
_atom_site_occupancy
K1 K 0.000 0.000 0.000 1
As1 As 0.250 0.750 0.500 1
As2 As 0.500 0.750 0.250 1
As3 As 0.250 0.500 0.750 1
As4 As 0.750 0.250 0.500 1
As5 As 0.500 0.250 0.750 1
As6 As 0.750 0.500 0.250 1

=====

# PBE K2As3, optimized geometry
# Space group: R-3m
# Total DFT energy (no corrections) in eV per atom: -3.25
# Spin magnetization in μB/f.u.: 1.316
data_K2As3
_space_group_name_H-M_alt 'P 1'
_space_group_IT_number 1
_space_group_name_Hall 'P 1'
_cell_length_a 10.150
_cell_length_b 10.150
_cell_length_c 10.150
_cell_angle_alpha 25.47
_cell_angle_beta 25.47
_cell_angle_gamma 25.47
loop_
_atom_site_label
_atom_site_type_symbol
_atom_site_fract_x
_atom_site_fract_y
_atom_site_fract_z
_atom_site_occupancy
K1 K 0.408 0.408 0.408 1
K2 K 0.592 0.592 0.592 1
As1 As 0.000 0.000 0.000 1
As2 As 0.834 0.834 0.834 1
As3 As 0.166 0.166 0.166 1

=====

# PBE K8As, optimized geometry
# Space group: I4/mmm
# Total DFT energy (no corrections) in eV per atom: -1.54
# Spin magnetization in μB/f.u.: 0.000
data_K8As
_space_group_name_H-M_alt 'P 1'
_space_group_IT_number 1
_space_group_name_Hall 'P 1'
_cell_length_a 10.579
_cell_length_b 10.579
_cell_length_c 10.579
_cell_angle_alpha 93.14
_cell_angle_beta 93.14
_cell_angle_gamma 152.94
loop_
_atom_site_label
_atom_site_type_symbol
_atom_site_fract_x
_atom_site_fract_y
_atom_site_fract_z
_atom_site_occupancy
K1 K 0.623 0.377 0.000 1
K2 K 0.377 0.623 0.000 1
K3 K 0.000 0.674 0.674 1
K4 K 0.377 0.377 0.754 1
K5 K 0.674 0.000 0.674 1
K6 K 0.623 0.623 0.246 1
K7 K 0.000 0.326 0.326 1
K8 K 0.326 0.000 0.326 1
As1 As 0.000 0.000 0.000 1